A geometry-optimized ZnCdSe2 structure, computed with GGA-PBE.

E: -2.87 eV per atom
Formation energy (no corrections): -576.3 meV per atom

Structure (extended XYZ):
```
16
Lattice="6.9015 0.0000 0.0000 0.0000 4.0327 0.0000 0.0000 0.0000 14.8250" Properties=species:S:1:pos:R:3 pbc="T T T"
Zn 1.4057 1.0082 2.4160
Zn 2.0450 3.0245 9.8285
Zn 4.8564 1.0082 4.9965
Zn 5.4958 3.0245 12.4090
Cd 1.1809 3.0245 5.9751
Cd 2.2698 1.0082 13.3876
Cd 4.6316 3.0245 1.4374
Cd 5.7206 1.0082 8.8499
Se 1.0818 3.0245 12.1110
Se 1.4196 1.0082 8.4788
Se 2.0312 3.0245 1.0663
Se 2.3689 1.0082 4.6984
Se 4.5325 3.0245 10.1266
Se 4.8703 1.0082 13.7588
Se 5.4819 3.0245 6.3463
Se 5.8197 1.0082 2.7141
```

A geometry-optimized ZnCdSe2 structure, computed with GGA-PBE.

E: -2.94 eV per atom
Formation energy (no corrections): -653.1 meV per atom

Structure (extended XYZ):
```
8
Lattice="4.1926 0.0000 0.0000 0.0000 7.3639 0.0000 -4.1917 0.0000 6.8679" Properties=species:S:1:pos:R:3 pbc="T T T"
Zn 0.0000 0.5696 0.0000
Zn -2.0959 6.7944 3.4339
Cd 0.0053 3.0068 3.4171
Cd -2.0906 4.3572 6.8510
Se 0.0012 0.4832 2.5095
Se -2.0947 6.8807 5.9435
Se 0.0065 2.9195 6.0826
Se 2.1024 4.4444 2.6487
```

A geometry-optimized ZnCdSe2 structure, computed with GGA-PBE.

E: -2.49 eV per atom
Formation energy (no corrections): -196.6 meV per atom

Structure (extended XYZ):
```
4
Lattice="-1.8612 3.7118 4.0557 1.8612 -3.7118 4.0557 1.8612 3.7118 -4.0557" Properties=species:S:1:pos:R:3 pbc="T T T"
Zn 0.0000 0.0000 0.0000
Cd 0.0000 3.7118 0.0000
Se 1.8612 1.7164 0.0000
Se 0.0000 1.9954 4.0557
```

A geometry-optimized ZnCdSe2 structure, computed with GGA-PBE.

E: -2.44 eV per atom
Formation energy (no corrections): -151.5 meV per atom

Structure (extended XYZ):
```
4
Lattice="-1.8667 1.8667 8.2655 1.8667 -1.8667 8.2655 1.8667 1.8667 -8.2655" Properties=species:S:1:pos:R:3 pbc="T T T"
Zn 0.0000 0.0000 0.0000
Cd 1.8667 0.0000 4.1327
Se 0.0000 0.0000 8.2655
Se 0.0000 1.8667 4.1327
```

A geometry-optimized ZnCdSe2 structure, computed with GGA-PBE.

E: -2.78 eV per atom
Formation energy (no corrections): -488.7 meV per atom

Structure (extended XYZ):
```
16
Lattice="8.2332 0.0000 0.0000 0.0000 4.2673 0.0000 -7.9806 0.0000 10.5289" Properties=species:S:1:pos:R:3 pbc="T T T"
Zn -0.9586 0.1242 3.8663
Zn -4.9489 2.0094 9.1308
Zn 5.2015 2.2578 1.3982
Zn 1.2112 4.1431 6.6627
Cd -2.8393 3.1515 6.5379
Cd 1.1510 3.2494 1.2734
Cd -0.8984 1.0179 9.2555
Cd 3.0919 1.1157 3.9911
Se -4.7420 0.9030 6.8937
Se -0.7518 1.2306 1.6292
Se -1.0396 0.9770 6.2463
Se 2.9506 1.1566 0.9819
Se -2.6980 3.1107 9.5471
Se 1.2922 3.2902 4.2826
Se 1.0043 3.0366 8.8998
Se 4.9946 3.3643 3.6353
```

A geometry-optimized ZnCdSe2 structure, computed with GGA-PBE.

E: -2.60 eV per atom
Formation energy (no corrections): -312.0 meV per atom

Structure (extended XYZ):
```
4
Lattice="3.8000 0.0000 0.0000 0.0000 1.7826 6.8019 0.0000 -1.7826 6.8019" Properties=species:S:1:pos:R:3 pbc="T T T"
Zn 0.0000 0.0000 0.0000
Cd 1.9000 0.0000 3.4133
Se 0.0000 0.0000 9.1417
Se 1.9000 0.0000 6.0657
```